Entry 1:
# KAg2Te2Se6

A geometry-optimized KAg2Te2Se6 structure (PBE, Alexandria via LeMat-Bulk).

Unit cell a=6.535 b=7.651 c=7.699 alpha=104.60 beta=101.09 gamma=92.84
Positions (direct):
K1 0.000 0.000 0.000
Ag1 0.283 0.568 0.129
Ag2 0.717 0.432 0.871
Te1 0.147 0.276 0.603
Te2 0.853 0.724 0.397
Se1 0.018 0.588 0.765
Se2 0.206 0.877 0.390
Se3 0.385 0.248 0.908
Se4 0.615 0.752 0.092
Se5 0.794 0.123 0.610
Se6 0.982 0.412 0.235

The uncorrected energy comes out at -35.73 eV per formula unit. Its magnetic moment is 0.00 μB/cell. The value obtained for the uncorrected formation energy is -158 meV/atom. The symmetry is P-1, No. 2. For the density of states at the Fermi level, the calculation gives 0.558 states/eV/atom.



Entry 2:
# Er2InGa3

A geometry-optimized Er2InGa3 structure (PBE, Alexandria via LeMat-Bulk).

Unit cell a=9.088 b=8.656 c=5.758 alpha=75.19 beta=67.04 gamma=37.77
Positions (direct):
Er1 0.248 0.752 0.752
Er2 0.250 0.250 0.250
Er3 0.750 0.750 0.750
Er4 0.752 0.248 0.248
In1 0.334 0.334 0.666
In2 0.666 0.666 0.334
Ga1 0.163 0.163 0.837
Ga2 0.163 0.675 0.325
Ga3 0.325 0.837 0.163
Ga4 0.675 0.163 0.837
Ga5 0.837 0.325 0.675
Ga6 0.837 0.837 0.163

The uncorrected energy comes out at -23.96 eV per formula unit. Its magnetic moment is 0.00 μB/cell. The value obtained for the energy of formation is -3.02 eV per formula unit. The symmetry is Fmmm, No. 69. For the density of states at the Fermi level, the calculation gives 0.339 states/eV/atom.



Entry 3:
# Tb2Sm4Er5

A geometry-optimized Tb2Sm4Er5 structure (PBE, Alexandria via LeMat-Bulk).

Unit cell a=12.027 b=12.027 c=8.703 alpha=96.98 beta=96.98 gamma=16.59
Positions (direct):
Tb1 0.090 0.090 0.241
Tb2 0.910 0.910 0.759
Sm1 0.046 0.046 0.858
Sm2 0.322 0.322 0.029
Sm3 0.678 0.678 0.971
Sm4 0.954 0.954 0.142
Er1 0.142 0.142 0.616
Er2 0.232 0.232 0.328
Er3 0.500 0.500 0.500
Er4 0.768 0.768 0.672
Er5 0.858 0.858 0.384

The uncorrected energy comes out at -49.28 eV per formula unit. Its magnetic moment is 0.00 μB/cell. The value obtained for the energy of formation is 1.67 eV per formula unit. The symmetry is C2/m, No. 12. For the density of states at the Fermi level, the calculation gives 1.752 states/eV/atom.



Entry 4:
# Tb12Er5Tm

A geometry-optimized Tb12Er5Tm structure (PBE, Alexandria via LeMat-Bulk).

Unit cell a=10.599 b=10.599 c=4.997 alpha=90.00 beta=90.00 gamma=90.14
Positions (direct):
Tb1 0.000 0.333 0.500
Tb2 0.000 0.667 0.500
Tb3 0.166 0.166 0.000
Tb4 0.167 0.501 0.000
Tb5 0.333 0.000 0.500
Tb6 0.334 0.334 0.500
Tb7 0.499 0.833 0.000
Tb8 0.501 0.167 0.000
Tb9 0.666 0.666 0.500
Tb10 0.667 0.000 0.500
Tb11 0.833 0.499 0.000
Tb12 0.834 0.834 0.000
Er1 0.000 0.000 0.500
Er2 0.167 0.833 0.000
Er3 0.333 0.667 0.500
Er4 0.667 0.333 0.500
Er5 0.833 0.167 0.000
Tm1 0.500 0.500 0.000

The uncorrected energy comes out at -82.51 eV per formula unit. Its magnetic moment is 0.00 μB/cell. The value obtained for the energy of formation is 0.34 eV per formula unit. The symmetry is Cmmm, No. 65. For the density of states at the Fermi level, the calculation gives 1.357 states/eV/atom.